# KAu3N GGA-PBE relaxed
# formation energy without anion corrections: 0.4958 eV per atom
data_KAu3N
_space_group_name_H-M_alt 'P m -3 m'
_space_group_IT_number 221
_space_group_name_Hall '-P 4 2 3'
_cell_length_a 4.6484
_cell_length_b 4.6484
_cell_length_c 4.6484
_cell_angle_alpha 90.00
_cell_angle_beta 90.00
_cell_angle_gamma 90.00
loop_
_atom_site_label
_atom_site_type_symbol
_atom_site_fract_x
_atom_site_fract_y
_atom_site_fract_z
K1 K 0.0000 0.0000 0.0000
Au1 Au 0.0000 0.5000 0.5000
N1 N 0.5000 0.5000 0.5000